No. 1
## Li6Ca12Ga (PBE)

Data for a geometry-optimized Li6Ca12Ga structure.

Output
* D(E_F): 17.0 states/eV/f.u.
* mass density: 1.541 Mg/m³
* SG: R-3
* E_form: 0.024 eV per atom

The structure in CIF format:
```
data_Li6Ca12Ga
_chemical_formula_sum 'Li6 Ca12 Ga1'
_cell_length_a 8.6143
_cell_length_b 8.6143
_cell_length_c 8.6143
_cell_angle_alpha 87.98
_cell_angle_beta 87.98
_cell_angle_gamma 87.98
_space_group_name_H-M_alt 'P 1'
_space_group_IT_number 1
_space_group_name_Hall 'P 1'
loop_
_atom_site_label
_atom_site_fract_x
_atom_site_fract_y
_atom_site_fract_z
_atom_site_occupancy
Li1 0.2409 0.7493 0.4055 1
Li2 0.2507 0.5945 0.7591 1
Li3 0.4055 0.2409 0.7493 1
Li4 0.5945 0.7591 0.2507 1
Li5 0.7493 0.4055 0.2409 1
Li6 0.7591 0.2507 0.5945 1
Ca1 0.0432 0.3001 0.9405 1
Ca2 0.0595 0.9568 0.6999 1
Ca3 0.1484 0.3549 0.4912 1
Ca4 0.3001 0.9405 0.0432 1
Ca5 0.3549 0.4912 0.1484 1
Ca6 0.4912 0.1484 0.3549 1
Ca7 0.5088 0.8516 0.6451 1
Ca8 0.6451 0.5088 0.8516 1
Ca9 0.6999 0.0595 0.9568 1
Ca10 0.8516 0.6451 0.5088 1
Ca11 0.9405 0.0432 0.3001 1
Ca12 0.9568 0.6999 0.0595 1
Ga1 0.5000 0.5000 0.5000 1
```

No. 2
## DyPbSe2 (PBE)

Data for a geometry-optimized DyPbSe2 structure.

Output
* D(E_F): 1.7 states/eV/f.u.
* offset from the most stable computed form: 0.030 eV/atom
* mass density: 6.741 Mg/m³
* SG: R-3m
* formation energy without anion corrections: -1155 meV/atom

The structure in CIF format:
```
data_DyPbSe2
_chemical_formula_sum 'Dy1 Pb1 Se2'
_cell_length_a 9.4166
_cell_length_b 9.4166
_cell_length_c 9.4166
_cell_angle_alpha 24.88
_cell_angle_beta 24.88
_cell_angle_gamma 24.88
_space_group_name_H-M_alt 'P 1'
_space_group_IT_number 1
_space_group_name_Hall 'P 1'
loop_
_atom_site_label
_atom_site_fract_x
_atom_site_fract_y
_atom_site_fract_z
_atom_site_occupancy
Dy1 0.0000 0.0000 0.0000 1
Pb1 0.5000 0.5000 0.5000 1
Se1 0.3923 0.3923 0.3923 1
Se2 0.6077 0.6077 0.6077 1
```

No. 3
## Al2HgSe (PBE)

Data for a geometry-optimized Al2HgSe structure.

Output
* D(E_F): 1.3 states/eV/f.u.
* mass density: 6.136 Mg/m³
* SG: Cmmm
* formation energy without anion corrections: 22 meV/atom

The structure in CIF format:
```
data_Al2HgSe
_chemical_formula_sum 'Al2 Hg1 Se1'
_cell_length_a 3.6520
_cell_length_b 3.6520
_cell_length_c 7.9236
_cell_angle_alpha 90.00
_cell_angle_beta 90.00
_cell_angle_gamma 121.34
_space_group_name_H-M_alt 'P 1'
_space_group_IT_number 1
_space_group_name_Hall 'P 1'
loop_
_atom_site_label
_atom_site_fract_x
_atom_site_fract_y
_atom_site_fract_z
_atom_site_occupancy
Al1 0.0000 0.0000 0.2339 1
Al2 0.0000 0.0000 0.7661 1
Hg1 0.5000 0.5000 0.5000 1
Se1 0.5000 0.5000 0.0000 1
```

No. 4
## Ac6InPb5 (PBE)

Data for a geometry-optimized Ac6InPb5 structure.

Output
* D(E_F): 10.6 states/eV/f.u.
* mass density: 9.826 Mg/m³
* SG: C2/m
* E_form: -0.476 eV per atom

The structure in CIF format:
```
data_Ac6InPb5
_chemical_formula_sum 'Ac6 In1 Pb5'
_cell_length_a 9.8795
_cell_length_b 9.8795
_cell_length_c 5.5073
_cell_angle_alpha 106.15
_cell_angle_beta 106.15
_cell_angle_gamma 113.52
_space_group_name_H-M_alt 'P 1'
_space_group_IT_number 1
_space_group_name_Hall 'P 1'
loop_
_atom_site_label
_atom_site_fract_x
_atom_site_fract_y
_atom_site_fract_z
_atom_site_occupancy
Ac1 0.0820 0.4155 0.7489 1
Ac2 0.2477 0.2477 0.2480 1
Ac3 0.4155 0.0820 0.7489 1
Ac4 0.5845 0.9180 0.2511 1
Ac5 0.7523 0.7523 0.7520 1
Ac6 0.9180 0.5845 0.2511 1
In1 0.0000 0.0000 0.5000 1
Pb1 0.1648 0.8352 0.0000 1
Pb2 0.3343 0.6657 0.5000 1
Pb3 0.5000 0.5000 0.0000 1
Pb4 0.6657 0.3343 0.5000 1
Pb5 0.8352 0.1648 0.0000 1
```

No. 5
## AlCdRe2 (PBE)

Data for a geometry-optimized AlCdRe2 structure.

Output
* D(E_F): 2.9 states/eV/f.u.
* offset from the most stable computed form: 0.275 eV/atom
* mass density: 13.296 Mg/m³
* SG: Immm
* E_form: 0.387 eV per atom

The structure in CIF format:
```
data_AlCdRe2
_chemical_formula_sum 'Al1 Cd1 Re2'
_cell_length_a 5.3615
_cell_length_b 5.3615
_cell_length_c 5.3615
_cell_angle_alpha 147.20
_cell_angle_beta 129.36
_cell_angle_gamma 61.65
_space_group_name_H-M_alt 'P 1'
_space_group_IT_number 1
_space_group_name_Hall 'P 1'
loop_
_atom_site_label
_atom_site_fract_x
_atom_site_fract_y
_atom_site_fract_z
_atom_site_occupancy
Al1 0.0000 0.0000 0.0000 1
Cd1 0.5000 0.5000 0.0000 1
Re1 0.2357 0.7357 0.5000 1
Re2 0.7643 0.2643 0.5000 1
```

No. 6
## CeSb2Pt (PBE)

Data for a geometry-optimized CeSb2Pt structure.

Output
* D(E_F): 7.1 states/eV/f.u.
* mass density: 8.737 Mg/m³
* SG: R-3m
* formation energy without anion corrections: -127 meV/atom

The structure in CIF format:
```
data_CeSb2Pt
_chemical_formula_sum 'Ce1 Sb2 Pt1'
_cell_length_a 10.1613
_cell_length_b 10.1613
_cell_length_c 10.1613
_cell_angle_alpha 20.25
_cell_angle_beta 20.25
_cell_angle_gamma 20.25
_space_group_name_H-M_alt 'P 1'
_space_group_IT_number 1
_space_group_name_Hall 'P 1'
loop_
_atom_site_label
_atom_site_fract_x
_atom_site_fract_y
_atom_site_fract_z
_atom_site_occupancy
Ce1 0.0000 0.0000 0.0000 1
Sb1 0.1072 0.1072 0.1072 1
Sb2 0.8928 0.8928 0.8928 1
Pt1 0.5000 0.5000 0.5000 1
```